Record 1
Computed, not measured: a relaxed structure of Sr2OsW at the PBE level of DFT.

Lattice parameters (Å, degrees): 7.3496 4.2409 9.0384 90.00 105.15 90.00
Closest atoms and distances in Å follow each position.
Space group Cm (No. 8)
Unique sites:
1 Sr 0.0000 0.0000 0.0000 (multiplicity 2)  3 Os 3.25, 3 W 3.46
2 Sr 0.1714 0.0000 0.5338 (multiplicity 2)  3 W 3.30, 3 Os 3.51
3 Os 0.2453 0.5000 0.2453 (multiplicity 2)  3 W 2.47
4 W 0.4234 0.0000 0.2806 (multiplicity 2)  3 Os 2.47

raw total energy = -26.19 eV per formula unit
relative energy among the computed polymorphs = 0.0000 eV per atom
density of states at the Fermi level = 1.00 states/eV/atom

---

Record 2
Computed, not measured: a relaxed structure of SrOs2W at the PBE level of DFT.

Lattice parameters (Å, degrees): 3.2908 3.2908 7.5596 90.00 90.00 90.00
Closest atoms and distances in Å follow each position.
Space group P4mm (No. 99)
Unique sites:
1 Sr 0.0000 0.0000 0.0000 (multiplicity 1)  4 Sr 3.29, 4 Os 3.31, 4 W 3.53
2 Os 0.0000 0.0000 0.5005 (multiplicity 1)  4 W 2.59, 4 Os 2.73
3 Os 0.5000 0.5000 0.6892 (multiplicity 1)  1 W 2.56, 4 Os 2.73
4 W 0.5000 0.5000 0.3506 (multiplicity 1)  5 Os 2.56-2.59

raw total energy = -33.69 eV per formula unit
relative energy among the computed polymorphs = 0.3977 eV per atom
density of states at the Fermi level = 0.90 states/eV/atom

---

Record 3
Computed, not measured: a relaxed structure of SrOs2W at the PBE level of DFT.

Lattice parameters (Å, degrees): 4.7551 4.7551 3.1612 90.00 90.00 90.00
Closest atoms and distances in Å follow each position.
Space group P4/mmm (No. 123)
Unique sites:
1 Sr 0.0000 0.0000 0.0000 (multiplicity 1)  8 Os 2.85, 2 Sr 3.16
2 Os 0.0000 0.5000 0.5000 (multiplicity 2)  4 W 2.85, 4 Sr 2.85, 2 Os 3.16
3 W 0.5000 0.5000 0.0000 (multiplicity 1)  8 Os 2.85, 2 W 3.16

raw total energy = -33.13 eV per formula unit
relative energy among the computed polymorphs = 0.5366 eV per atom
density of states at the Fermi level = 0.47 states/eV/atom

---

Record 4
Computed, not measured: a relaxed structure of SrOs2W at the PBE level of DFT.

Lattice parameters (Å, degrees): 2.8143 5.0098 10.6384 90.00 90.00 90.00
Closest atoms and distances in Å follow each position.
Space group Imm2 (No. 44)
Unique sites:
1 Sr 0.0000 0.0000 0.0000 (multiplicity 2)  2 Sr 2.81, 4 Os 2.88
2 Os 0.0000 0.0000 0.4880 (multiplicity 2)  4 Os 2.59-2.81, 2 W 2.72, 4 Sr 2.88
3 Os 0.0000 0.5000 0.7838 (multiplicity 2)  4 Os 2.59-2.81
4 W 0.0000 0.5000 0.2069 (multiplicity 2)  6 Os 2.72-2.99, 2 W 2.81

raw total energy = -33.88 eV per formula unit
relative energy among the computed polymorphs = 0.3498 eV per atom
density of states at the Fermi level = 0.75 states/eV/atom

---

Record 5
Computed, not measured: a relaxed structure of Sr3OsW at the PBE level of DFT.

Lattice parameters (Å, degrees): 5.7424 5.7424 5.7424 90.00 90.00 90.00
Closest atoms and distances in Å follow each position.
Space group Pm-3m (No. 221)
Unique sites:
1 Sr 0.0000 0.0000 0.5000 (multiplicity 3)  2 Os 2.87
2 Os 0.0000 0.0000 0.0000 (multiplicity 1)  6 Sr 2.87
3 W 0.5000 0.5000 0.5000 (multiplicity 1)  12 Sr 4.06

raw total energy = -21.74 eV per formula unit
relative energy among the computed polymorphs = 0.0000 eV per atom
density of states at the Fermi level = 0.67 states/eV/atom

---

Record 6
Computed, not measured: a relaxed structure of SrOs2W at the PBE level of DFT.

Lattice parameters (Å, degrees): 6.5658 6.5658 6.5658 90.00 90.00 90.00
Closest atoms and distances in Å follow each position.
Space group Fm-3m (No. 225)
Unique sites:
1 Sr 0.0000 0.0000 0.0000 (multiplicity 4)  8 Os 2.84
2 Os 0.2500 0.2500 0.2500 (multiplicity 8)  4 W 2.84, 4 Sr 2.84
3 W 0.0000 0.0000 0.5000 (multiplicity 4)  8 Os 2.84

raw total energy = -33.52 eV per formula unit
relative energy among the computed polymorphs = 0.4393 eV per atom
density of states at the Fermi level = 0.29 states/eV/atom

---

Record 7
Computed, not measured: a relaxed structure of Sr2OsW at the PBE level of DFT.

Lattice parameters (Å, degrees): 7.3853 7.3853 7.3853 90.00 90.00 90.00
Closest atoms and distances in Å follow each position.
Space group Fm-3m (No. 225)
Unique sites:
1 Sr 0.2500 0.2500 0.2500 (multiplicity 8)  4 W 3.20, 4 Os 3.20
2 Os 0.0000 0.0000 0.0000 (multiplicity 4)  8 Sr 3.20
3 W 0.0000 0.0000 0.5000 (multiplicity 4)  8 Sr 3.20

raw total energy = -21.06 eV per formula unit
relative energy among the computed polymorphs = 1.2831 eV per atom
density of states at the Fermi level = 1.32 states/eV/atom

---

Record 8
Computed, not measured: a relaxed structure of SrOsW4 at the PBE level of DFT.

Lattice parameters (Å, degrees): 7.6379 7.6379 7.6379 90.00 90.00 90.00
Closest atoms and distances in Å follow each position.
Space group F-43m (No. 216)
Unique sites:
1 Sr 0.0000 0.0000 0.0000 (multiplicity 4)  12 W 3.17, 4 Os 3.31
2 Os 0.2500 0.2500 0.2500 (multiplicity 4)  12 W 3.17, 4 Sr 3.31
3 W 0.1253 0.1253 0.6253 (multiplicity 16)  6 W 2.69-2.71

raw total energy = -59.61 eV per formula unit
density of states at the Fermi level = 1.08 states/eV/atom

---

Record 9
Computed, not measured: a relaxed structure of SrOs2W at the PBE level of DFT.

Lattice parameters (Å, degrees): 3.1180 3.1180 7.7882 90.00 90.00 90.00
Closest atoms and distances in Å follow each position.
Space group P4/mmm (No. 123)
Unique sites:
1 Sr 0.0000 0.0000 0.0000 (multiplicity 1)  4 Sr 3.12, 8 Os 3.25
2 Os 0.5000 0.5000 0.3074 (multiplicity 2)  4 W 2.67
3 W 0.0000 0.0000 0.5000 (multiplicity 1)  8 Os 2.67

raw total energy = -35.28 eV per formula unit
relative energy among the computed polymorphs = 0.0000 eV per atom
density of states at the Fermi level = 0.75 states/eV/atom

---

Record 10
Computed, not measured: a relaxed structure of SrOs2W at the PBE level of DFT.

Lattice parameters (Å, degrees): 3.0763 5.2123 9.4646 90.00 90.00 90.00
Closest atoms and distances in Å follow each position.
Space group Immm (No. 71)
Unique sites:
1 Sr 0.0000 0.0000 0.0000 (multiplicity 2)  4 W 3.03, 2 Sr 3.08, 8 Os 3.11-3.31
2 Os 0.0000 0.5000 0.2148 (multiplicity 4)  2 W 2.55
3 W 0.0000 0.0000 0.5000 (multiplicity 2)  4 Os 2.55

raw total energy = -33.18 eV per formula unit
relative energy among the computed polymorphs = 0.5249 eV per atom
density of states at the Fermi level = 0.97 states/eV/atom

---

Record 11
Computed, not measured: a relaxed structure of Sr2OsW at the PBE level of DFT.

Lattice parameters (Å, degrees): 5.5937 10.4810 2.9869 90.00 90.11 90.00
Closest atoms and distances in Å follow each position.
Space group C2/m (No. 12)
Unique sites:
1 Sr 0.2500 0.2500 0.0000 (multiplicity 4)  4 Sr 2.80-2.99
2 Os 0.0000 0.0000 0.5000 (multiplicity 2)  2 W 2.80, 2 Os 2.99
3 W 0.0000 0.5000 0.5000 (multiplicity 2)  2 Os 2.80, 2 W 2.99

raw total energy = -22.44 eV per formula unit
relative energy among the computed polymorphs = 0.9383 eV per atom
density of states at the Fermi level = 1.03 states/eV/atom

---

Record 12
Computed, not measured: a relaxed structure of Sr2OsW at the PBE level of DFT.

Lattice parameters (Å, degrees): 11.4594 11.4594 4.7389 90.00 90.00 90.00
Closest atoms and distances in Å follow each position.
Space group I-42d (No. 122)
Unique sites:
1 Sr 0.0777 0.7500 0.1250 (multiplicity 8)  2 Os 3.06
2 Os 0.0000 0.0000 0.0000 (multiplicity 4)  2 W 2.37
3 W 0.0000 0.0000 0.5000 (multiplicity 4)  2 Os 2.37

raw total energy = -23.15 eV per formula unit
relative energy among the computed polymorphs = 0.7622 eV per atom
density of states at the Fermi level = 1.07 states/eV/atom

---

Record 13
Computed, not measured: a relaxed structure of SrOs2W at the PBE level of DFT.

Lattice parameters (Å, degrees): 6.5021 7.6341 2.8844 90.00 90.00 90.00
Closest atoms and distances in Å follow each position.
Space group Cmmm (No. 65)
Unique sites:
1 Sr 0.0000 0.0000 0.0000 (multiplicity 2)  2 Sr 2.88, 8 Os 2.89
2 Os 0.2500 0.2500 0.5000 (multiplicity 4)  2 Os 2.88, 4 W 2.89, 4 Sr 2.89
3 W 0.0000 0.5000 0.0000 (multiplicity 2)  2 W 2.88, 8 Os 2.89

raw total energy = -33.01 eV per formula unit
relative energy among the computed polymorphs = 0.5668 eV per atom
density of states at the Fermi level = 0.87 states/eV/atom

---

Record 14
Computed, not measured: a relaxed structure of SrOs2W at the PBE level of DFT.

Lattice parameters (Å, degrees): 5.1141 2.8314 5.5025 90.00 115.61 90.00
Closest atoms and distances in Å follow each position.
Space group P2/m (No. 10)
Unique sites:
1 Sr 0.0000 0.0000 0.0000 (multiplicity 1)  6 Os 2.75-2.92, 2 Sr 2.83
2 Os 0.0000 0.0000 0.5000 (multiplicity 1)  2 Sr 2.75, 2 Os 2.83, 4 W 2.92
3 Os 0.5000 0.5000 0.0000 (multiplicity 1)  2 W 2.75, 2 Os 2.83, 4 Sr 2.92
4 W 0.5000 0.5000 0.5000 (multiplicity 1)  6 Os 2.75-2.92, 2 W 2.83

raw total energy = -32.30 eV per formula unit
relative energy among the computed polymorphs = 0.7447 eV per atom
density of states at the Fermi level = 1.14 states/eV/atom

---

Record 15
Computed, not measured: a relaxed structure of SrOs2W at the PBE level of DFT.

Lattice parameters (Å, degrees): 9.0217 3.0226 6.4045 90.00 102.78 90.00
Closest atoms and distances in Å follow each position.
Space group C2/m (No. 12)
Unique sites:
1 Sr 0.0000 0.0000 0.0000 (multiplicity 2)  2 Sr 3.02, 6 Os 3.31-3.32
2 Os 0.2247 0.0000 0.6531 (multiplicity 4)  2 W 2.54, 2 Os 2.60
3 W 0.0000 0.5000 0.5000 (multiplicity 2)  4 Os 2.54

raw total energy = -34.45 eV per formula unit
relative energy among the computed polymorphs = 0.2075 eV per atom
density of states at the Fermi level = 0.73 states/eV/atom